# 1
Entry from Alexandria via LeMat-Bulk: a crystal of Li2MgCr relaxed with PBEsol (SCAN).

abc: 2.6268 2.6268 9.6706
angles: 90.00 90.00 112.27
Fractional positions:
1 Cr 0.5000 0.5000 0.0000
2 Li 0.0000 0.0000 0.2326
3 Li 0.0000 0.0000 0.7674
4 Mg 0.5000 0.5000 0.5000

Size of the total moment (μB/f.u.): 3.64
E (eV per atom): -6.64
Energy of formation from the pure elements (kcal/mol of atoms): 9.17

=====

# 2
Entry from Alexandria via LeMat-Bulk: a crystal of LiMgCr3S6O24 relaxed with PBEsol (SCAN).

abc: 8.1699 8.1979 8.7549
angles: 62.17 62.19 60.48
Fractional positions:
1 Cr 0.3539 0.3476 0.9390
2 Cr 0.6413 0.6454 0.0711
3 Cr 0.8523 0.8510 0.4484
4 Mg 0.1599 0.1453 0.5510
5 S 0.0379 0.4747 0.7475
6 S 0.5421 0.2512 0.2479
7 S 0.2520 0.9572 0.2481
8 S 0.7440 0.0359 0.7503
9 S 0.4674 0.7404 0.7536
10 S 0.9557 0.5436 0.2531
11 O 0.2984 0.1061 0.0684
12 O 0.1146 0.4967 0.0902
13 O 0.0021 0.3400 0.7085
14 O 0.0304 0.6628 0.5948
15 O 0.3495 0.2903 0.3856
16 O 0.0422 0.9854 0.2927
17 O 0.5234 0.2892 0.0715
18 O 0.2369 0.3833 0.7669
19 O 0.6743 0.0430 0.2999
20 O 0.3798 0.7576 0.2294
21 O 0.6395 0.3798 0.2193
22 O 0.2830 0.9813 0.3859
23 O 0.7118 0.0163 0.6070
24 O 0.3886 0.6024 0.7699
25 O 0.6100 0.2408 0.7623
26 O 0.3399 0.9431 0.7021
27 O 0.7601 0.6346 0.2253
28 O 0.4944 0.6871 0.9273
29 O 0.9456 0.0201 0.7049
30 O 0.6673 0.7013 0.6082
31 O 0.9546 0.3646 0.4128
32 O 0.9858 0.6870 0.2861
33 O 0.8910 0.5122 0.9181
34 O 0.6836 0.8966 0.9278
35 Li 0.7612 0.4172 0.6410

Size of the total moment (μB/f.u.): 9.00
E (eV per atom): -9.66
Formation energy without anion corrections (meV/atom): -1946

=====

# 3
Entry from Alexandria via LeMat-Bulk: a crystal of Li2MgCr3Se3S3O24 relaxed with PBEsol (SCAN).

abc: 8.3031 8.4214 8.6712
angles: 63.55 61.62 61.59
Fractional positions:
1 Mg 0.1645 0.1291 0.5716
2 O 0.9657 0.0580 0.2728
3 O 0.9502 0.2568 0.4613
4 O 0.9338 0.2120 0.7919
5 O 0.6714 0.0350 0.6050
6 O 0.5115 0.1363 0.0619
7 O 0.7210 0.4343 0.2738
8 O 0.3552 0.0030 0.7001
9 O 0.5975 0.4089 0.7454
10 O 0.6812 0.4549 0.9877
11 O 0.9010 0.6612 0.9057
12 O 0.3843 0.2165 0.7893
13 O 0.6812 0.7390 0.5570
14 O 0.2538 0.3614 0.4082
15 O 0.6432 0.8002 0.1966
16 O 0.1059 0.3398 0.0847
17 O 0.3069 0.5481 0.0357
18 O 0.3778 0.6586 0.2413
19 O 0.6738 0.0266 0.2715
20 O 0.2433 0.5920 0.7312
21 O 0.5147 0.8795 0.9184
22 O 0.3597 0.9836 0.3830
23 O 0.0115 0.7172 0.2701
24 O 0.0132 0.7145 0.5776
25 O 0.0287 0.9145 0.7008
26 Li 0.7826 0.1438 0.7059
27 Li 0.5129 0.6399 0.5480
28 S 0.4774 0.0304 0.7554
29 S 0.5439 0.9874 0.2307
30 S 0.0431 0.7236 0.7312
31 Cr 0.8288 0.8662 0.4395
32 Cr 0.6413 0.6443 0.0760
33 Cr 0.3583 0.3670 0.9262
34 Se 0.9389 0.2667 0.2712
35 Se 0.7862 0.4387 0.7677
36 Se 0.2379 0.5620 0.2464

Size of the total moment (μB/f.u.): 8.00
E (eV per atom): -10.09
Formation energy without anion corrections (meV/atom): -1654

=====

# 4
Entry from Alexandria via LeMat-Bulk: a crystal of LiMn2Cr relaxed with PBEsol (SCAN).

abc: 2.2720 4.1812 4.6809
angles: 90.35 90.00 105.77
Fractional positions:
1 Cr 0.0000 0.0000 0.5000
2 Li 0.5000 0.0000 0.0000
3 Mn 0.7525 0.5050 0.7550
4 Mn 0.2475 0.4950 0.2450

Size of the total moment (μB/f.u.): 1.98
E (eV per atom): -13.93
Energy of formation from the pure elements (kcal/mol of atoms): 9.01

=====

# 5
Entry from Alexandria via LeMat-Bulk: a crystal of LiMn2Cr relaxed with PBEsol (SCAN).

abc: 2.8151 2.8151 5.6839
angles: 90.00 90.00 90.00
Fractional positions:
1 Cr 0.0000 0.0000 0.4846
2 Li 0.5000 0.5000 0.7512
3 Mn 0.0000 0.0000 0.0039
4 Mn 0.5000 0.5000 0.2604

Size of the total moment (μB/f.u.): 2.81
E (eV per atom): -14.11
Energy of formation from the pure elements (kcal/mol of atoms): 4.90

=====

# 6
Entry from Alexandria via LeMat-Bulk: a crystal of LiMn2NbCr relaxed with PBEsol (SCAN).

abc: 4.5731 4.2445 4.2445
angles: 90.00 90.00 90.00
Fractional positions:
1 Cr 0.0000 0.0000 0.0000
2 Nb 0.5000 0.0000 0.0000
3 Mn 0.0000 0.0000 0.5000
4 Mn 0.0000 0.5000 0.0000
5 Li 0.5000 0.5000 0.5000

Size of the total moment (μB/f.u.): 4.66
E (eV per atom): -17.25
Energy of formation from the pure elements (kcal/mol of atoms): 19.10